No. 1
Below is a relaxed structure of NaCeGa2Br6, with properties calculated at the PBE-GGA level.

Results
**Total magnetic moment**: 0.10 μB per atom
**Energy relative to the elements, uncorrected**: -1200 kJ/mol of formula units
**SG**: P2_1/c
**Uncorrected energy**: -3.58 eV/atom

a b c (Å): 7.5599 8.1563 11.0057
angles (deg): 90.00 87.79 90.00
Site moments in Bohr magnetons follow the coordinates.
Positions (direct):
Ga: 0.4850 0.4113 0.2090  0.00
Ga: 0.5150 0.5887 0.7910  0.00
Ga: 0.0150 0.9113 0.2910  0.00
Ga: 0.9850 0.0887 0.7090  0.00
Br: 0.3270 0.6785 0.0449  -0.01
Br: 0.8193 0.7940 0.9171  -0.01
Br: 0.8581 0.5562 0.2474  -0.01
Br: 0.1419 0.4438 0.7526  -0.01
Br: 0.6730 0.3215 0.9551  -0.01
Br: 0.6419 0.0562 0.2526  -0.01
Br: 0.8270 0.8215 0.5449  -0.01
Br: 0.1807 0.2060 0.0829  -0.01
Br: 0.6807 0.2940 0.5829  -0.01
Br: 0.1730 0.1785 0.4551  -0.01
Br: 0.3193 0.7060 0.4171  -0.01
Br: 0.3581 0.9438 0.7474  -0.01
Ce: 0.5000 0.0000 0.5000  0.98
Ce: 0.0000 0.5000 0.0000  0.98
Na: 0.5000 0.0000 0.0000  0.00
Na: 0.0000 0.5000 0.5000  0.00

***

No. 2
Below is a relaxed structure of Li2AlSi, with properties calculated at the PBE-GGA level.

Results
**Total magnetic moment**: 0.00 μB per atom
**Energy relative to the elements, uncorrected**: -57 kJ/mol of formula units
**SG**: Pmm2
**Uncorrected energy**: -3.39 eV/atom

a b c (Å): 4.3982 2.8146 4.9159
angles (deg): 89.98 90.00 90.00
Positions (direct):
Si: 0.0000 0.6251 0.4775
Al: 0.5000 0.6251 0.7659
Li: 0.0000 0.1242 0.9784
Li: 0.5000 0.1256 0.2782

***

No. 3
Below is a relaxed structure of Mn2MoIr, with properties calculated at the PBE-GGA level.

Results
**Formation energy from the elements**: -2.26 kJ per mole of atoms
**Total magnetic moment**: 0.32 μB per atom
**SG**: P4mm
**Uncorrected energy**: -9.53 eV/atom

a b c (Å): 2.7250 2.7250 7.3059
angles (deg): 90.00 90.00 90.00
Site moments in Bohr magnetons follow the coordinates.
Positions (direct):
Mo: 0.0000 0.0000 0.4930  0.17
Ir: 0.5000 0.5000 0.7604  0.03
Mn: 0.5000 0.5000 0.2300  -1.56
Mn: 0.0000 0.0000 0.0166  2.59

***

No. 4
Below is a relaxed structure of NaIn2Ir, with properties calculated at the PBE-GGA level.

Results
**Formation energy from the elements**: -6.70 kJ per mole of atoms
**Total magnetic moment**: 0.00 μB per atom
**SG**: P4/mmm
**Uncorrected energy**: -3.98 eV/atom

a b c (Å): 3.1345 3.1345 8.7814
angles (deg): 90.00 90.00 90.00
Positions (direct):
In: 0.0000 0.0000 0.7954
In: 0.0000 0.0000 0.2046
Ir: 0.5000 0.5000 0.0000
Na: 0.5000 0.5000 0.5000

***

No. 5
Below is a relaxed structure of Tb6PmSe8, with properties calculated at the PBE-GGA level.

Results
**Total magnetic moment**: 0.17 μB per atom
**Energy relative to the elements, uncorrected**: -2143 kJ/mol of formula units
**Relative energy among the computed polymorphs**: 0.3657 eV per atom
**SG**: R-3
**Uncorrected energy**: -5.51 eV/atom

a b c (Å): 8.0613 8.0613 8.0613
angles (deg): 95.48 95.48 95.48
Site moments in Bohr magnetons follow the coordinates.
Positions (direct):
Se: 0.3130 0.6007 0.8538  0.00
Se: 0.7714 0.7714 0.7714  -0.01
Se: 0.3993 0.1462 0.6870  0.00
Se: 0.8538 0.3130 0.6007  0.00
Se: 0.1462 0.6870 0.3993  0.00
Se: 0.6007 0.8538 0.3130  0.00
Se: 0.6870 0.3993 0.1462  0.00
Se: 0.2286 0.2286 0.2286  -0.01
Tb: 0.4406 0.8078 0.6208  0.12
Tb: 0.1922 0.3792 0.5594  0.12
Tb: 0.8078 0.6208 0.4406  0.12
Tb: 0.5594 0.1922 0.3792  0.12
Tb: 0.6208 0.4406 0.8078  0.12
Tb: 0.3792 0.5594 0.1922  0.12
Pm: 0.0000 0.0000 0.0000  0.58

***

No. 6
Below is a relaxed structure of Sr2HfMn, with properties calculated at the PBE-GGA level.

Results
**Formation energy from the elements**: 132.93 kJ per mole of atoms
**Total magnetic moment**: 0.00 μB per atom
**Relative energy among the computed polymorphs**: 0.4890 eV per atom
**SG**: Fm-3m
**Uncorrected energy**: -4.24 eV/atom

a b c (Å): 5.3930 5.3930 5.3930
angles (deg): 60.00 60.00 60.00
Positions (direct):
Sr: 0.2500 0.2500 0.2500
Sr: 0.7500 0.7500 0.7500
Mn: 0.0000 0.0000 0.0000
Hf: 0.5000 0.5000 0.5000

***

No. 7
Below is a relaxed structure of Sm2ZnGa4Rh3, with properties calculated at the PBE-GGA level.

Results
**Formation energy from the elements**: -66.26 kJ per mole of atoms
**Total magnetic moment**: 0.00 μB per atom
**SG**: P-4m2
**Uncorrected energy**: -5.17 eV/atom

a b c (Å): 4.0654 4.0654 11.2303
angles (deg): 90.00 90.00 90.00
Positions (direct):
Sm: 0.0000 0.5000 0.7579
Sm: 0.5000 0.0000 0.2421
Rh: 0.0000 0.5000 0.1368
Rh: 0.5000 0.0000 0.8632
Rh: 0.0000 0.0000 0.5000
Ga: 0.0000 0.5000 0.3626
Ga: 0.5000 0.0000 0.6374
Ga: 0.0000 0.0000 0.0000
Ga: 0.5000 0.5000 0.0000
Zn: 0.5000 0.5000 0.5000

***

No. 8
Below is a relaxed structure of NaRuF5, with properties calculated at the PBE-GGA level.

Results
**Total magnetic moment**: 0.29 μB per atom
**Energy relative to the elements, uncorrected**: -1389 kJ/mol of formula units
**SG**: C2/c
**Uncorrected energy**: -4.91 eV/atom

a b c (Å): 5.6709 5.6709 7.6984
angles (deg): 71.03 71.03 72.45
Site moments in Bohr magnetons follow the coordinates.
Positions (direct):
F: 0.0846 0.9154 0.7500  0.03
F: 0.2533 0.1979 0.3845  0.13
F: 0.2680 0.6935 0.4712  0.06
F: 0.1979 0.2533 0.8845  0.13
F: 0.8021 0.7467 0.1155  0.13
F: 0.7320 0.3065 0.5288  0.06
F: 0.6935 0.2680 0.9712  0.06
F: 0.7467 0.8021 0.6155  0.13
F: 0.9154 0.0846 0.2500  0.03
F: 0.3065 0.7320 0.0288  0.06
Na: 0.4714 0.5286 0.7500  0.00
Na: 0.5286 0.4714 0.2500  0.00
Ru: 0.0000 0.0000 0.5000  1.50
Ru: 0.0000 0.0000 0.0000  1.50